Below is a geometry-optimized Nd4Sn3Pb structure, with properties calculated at the PBE-GGA level.

Summary:
Energy of formation from the pure elements: -728 meV/atom
SG: Pmm2

Cell lengths 4.4337, 4.6746, 11.8168 Å; angles 90.00, 90.00, 90.00 degrees
With the nearest neighbours (Å) after each atom.
Sites, in units of the cell vectors:
Nd1 0.0000 0.0000 0.0000  5 Sn 3.23-3.26, 2 Pb 3.58
Nd2 0.0000 0.5000 0.4951  1 Pb 3.25, 6 Sn 3.26-3.51
Nd3 0.5000 0.0000 0.7272  3 Sn 3.24-3.57, 4 Pb 3.26
Nd4 0.5000 0.5000 0.2278  7 Sn 3.22-3.54
Sn1 0.0000 0.0000 0.2736  2 Sn 3.06, 5 Nd 3.23-3.27
Sn2 0.5000 0.0000 0.4527  2 Sn 3.06, 5 Nd 3.24-3.26
Sn3 0.5000 0.5000 0.9553  2 Pb 3.11, 5 Nd 3.22-3.26
Pb1 0.0000 0.5000 0.7701  2 Sn 3.11, 5 Nd 3.25-3.26

=====

Below is a geometry-optimized NdSn2Pb2 structure, with properties calculated at the PBE-GGA level.

Summary:
Energy of formation from the pure elements: -348 meV/atom
SG: Cmcm

Cell lengths 13.9672, 13.9672, 4.6311 Å; angles 90.00, 90.00, 161.01 degrees
With the nearest neighbours (Å) after each atom.
Sites, in units of the cell vectors:
Nd1 0.1595 0.8405 0.7500  8 Sn 3.29-3.40, 4 Pb 3.66-3.68
Nd2 0.8405 0.1595 0.2500  8 Sn 3.29-3.40, 4 Pb 3.66-3.68
Sn1 0.2496 0.7504 0.2500  4 Sn 3.27, 4 Nd 3.39-3.40
Sn2 0.3552 0.6448 0.7500  4 Nd 3.29, 4 Pb 3.35-3.38
Sn3 0.6448 0.3552 0.2500  4 Nd 3.29, 4 Pb 3.35-3.38
Sn4 0.7504 0.2496 0.7500  4 Sn 3.27, 4 Nd 3.39-3.40
Pb1 0.0566 0.9434 0.2500  4 Pb 3.27, 2 Sn 3.35
Pb2 0.4446 0.5554 0.2500  4 Pb 3.27, 2 Sn 3.38
Pb3 0.5554 0.4446 0.7500  4 Pb 3.27, 2 Sn 3.38
Pb4 0.9434 0.0566 0.7500  4 Pb 3.27, 2 Sn 3.35

=====

Below is a geometry-optimized Nd2Sn4Pb structure, with properties calculated at the PBE-GGA level.

Summary:
Energy of formation from the pure elements: -421 meV/atom
Energy above the lowest structure with this stoichiometry: 0 meV per atom
SG: C2/m

Cell lengths 6.6327, 6.6327, 6.6934 Å; angles 119.39, 119.39, 90.19 degrees
With the nearest neighbours (Å) after each atom.
Sites, in units of the cell vectors:
Nd1 0.0000 0.5000 0.0000  2 Pb 3.32, 8 Sn 3.35-3.37
Nd2 0.5000 0.0000 0.0000  2 Pb 3.32, 8 Sn 3.35-3.37
Sn1 0.0000 0.0000 0.5000  4 Sn 3.32, 2 Pb 3.35, 4 Nd 3.36
Sn2 0.0000 0.5000 0.5000  4 Sn 3.32, 4 Nd 3.35-3.37, 2 Pb 3.36
Sn3 0.5000 0.0000 0.5000  4 Sn 3.32, 4 Nd 3.35-3.37, 2 Pb 3.36
Sn4 0.5000 0.5000 0.5000  4 Sn 3.32, 4 Nd 3.36, 2 Pb 3.37
Pb1 0.0000 0.0000 0.0000  4 Nd 3.32, 8 Sn 3.35-3.37

=====

Below is a geometry-optimized SrNdSnPb structure, with properties calculated at the PBE-GGA level.

Summary:
Energy of formation from the pure elements: -488 meV/atom
SG: F-43m

Cell lengths 5.6533, 5.6533, 5.6533 Å; angles 60.00, 60.00, 60.00 degrees
With the nearest neighbours (Å) after each atom.
Sites, in units of the cell vectors:
Sr1 0.0000 0.0000 0.0000  4 Pb 3.46, 4 Sn 3.46
Nd1 0.5000 0.5000 0.5000  4 Sn 3.46, 4 Pb 3.46
Sn1 0.2500 0.2500 0.2500  4 Nd 3.46, 4 Sr 3.46
Pb1 0.7500 0.7500 0.7500  4 Nd 3.46, 4 Sr 3.46

=====

Below is a geometry-optimized TbNdSnPb structure, with properties calculated at the PBE-GGA level.

Summary:
Energy of formation from the pure elements: -487 meV/atom
SG: F-43m

Cell lengths 5.4869, 5.4869, 5.4869 Å; angles 60.00, 60.00, 60.00 degrees
With the nearest neighbours (Å) after each atom.
Sites, in units of the cell vectors:
Tb1 0.0000 0.0000 0.0000  4 Sn 3.36, 4 Pb 3.36
Nd1 0.5000 0.5000 0.5000  4 Sn 3.36, 4 Pb 3.36
Sn1 0.7500 0.7500 0.7500  4 Tb 3.36, 4 Nd 3.36
Pb1 0.2500 0.2500 0.2500  4 Tb 3.36, 4 Nd 3.36

=====

Below is a geometry-optimized Nd6Sn2Te3Pb structure, with properties calculated at the PBE-GGA level.

Summary:
E_form (uncorrected): -1.0901 eV/atom
SG: C2/m

Cell lengths 10.1590, 10.1590, 9.0812 Å; angles 103.43, 103.43, 25.81 degrees
With the nearest neighbours (Å) after each atom.
Sites, in units of the cell vectors:
Nd1 0.0022 0.0022 0.2480  1 Sn 3.16, 2 Pb 3.19, 3 Te 3.23-3.24
Nd2 0.3311 0.3311 0.4223  3 Sn 3.16-3.17, 3 Te 3.25
Nd3 0.3340 0.3340 0.9105  2 Sn 3.17, 1 Pb 3.19, 3 Te 3.23-3.25
Nd4 0.6660 0.6660 0.0895  2 Sn 3.17, 1 Pb 3.19, 3 Te 3.23-3.25
Nd5 0.6689 0.6689 0.5777  3 Sn 3.16-3.17, 3 Te 3.25
Nd6 0.9978 0.9978 0.7520  1 Sn 3.16, 2 Pb 3.19, 3 Te 3.23-3.24
Sn1 0.1667 0.1667 0.3332  6 Nd 3.16-3.17
Sn2 0.8333 0.8333 0.6668  6 Nd 3.16-3.17
Te1 0.1664 0.1664 0.8329  6 Nd 3.23-3.25
Te2 0.5000 0.5000 0.5000  6 Nd 3.23-3.25
Te3 0.8336 0.8336 0.1671  6 Nd 3.23-3.25
Pb1 0.5000 0.5000 0.0000  6 Nd 3.19

=====

Below is a geometry-optimized Nd6SnTe3Pb2 structure, with properties calculated at the PBE-GGA level.

Summary:
E_form (uncorrected): -1.0584 eV/atom
SG: C2/m

Cell lengths 10.1710, 10.1710, 9.0900 Å; angles 103.32, 103.32, 25.83 degrees
With the nearest neighbours (Å) after each atom.
Sites, in units of the cell vectors:
Nd1 0.0009 0.0009 0.2434  2 Sn 3.17, 1 Pb 3.19, 3 Te 3.24-3.26
Nd2 0.3324 0.3324 0.4201  3 Pb 3.19, 3 Te 3.23-3.24
Nd3 0.3358 0.3358 0.9147  1 Sn 3.16, 2 Pb 3.19, 3 Te 3.24-3.25
Nd4 0.6642 0.6642 0.0853  1 Sn 3.16, 2 Pb 3.19, 3 Te 3.24-3.25
Nd5 0.6676 0.6676 0.5799  3 Pb 3.19, 3 Te 3.23-3.24
Nd6 0.9991 0.9991 0.7566  2 Sn 3.17, 1 Pb 3.19, 3 Te 3.24-3.26
Sn1 0.5000 0.5000 0.0000  6 Nd 3.16-3.17
Te1 0.1670 0.1670 0.8333  6 Nd 3.24-3.25
Te2 0.5000 0.5000 0.5000  6 Nd 3.23-3.26
Te3 0.8330 0.8330 0.1667  6 Nd 3.24-3.25
Pb1 0.1666 0.1666 0.3330  6 Nd 3.19
Pb2 0.8334 0.8334 0.6670  6 Nd 3.19

=====

Below is a geometry-optimized Nd4SnTe2Pb structure, with properties calculated at the PBE-GGA level.

Summary:
E_form (uncorrected): -1.0733 eV/atom
SG: P2/m

Cell lengths 7.8467, 4.5359, 7.8878 Å; angles 90.00, 109.37, 90.00 degrees
With the nearest neighbours (Å) after each atom.
Sites, in units of the cell vectors:
Nd1 0.2450 0.0000 0.2417  2 Sn 3.17, 1 Pb 3.19, 3 Te 3.23-3.25
Nd2 0.2505 0.5000 0.7568  1 Sn 3.17, 2 Pb 3.19, 3 Te 3.24-3.25
Nd3 0.7495 0.5000 0.2432  1 Sn 3.17, 2 Pb 3.19, 3 Te 3.24-3.25
Nd4 0.7550 0.0000 0.7583  2 Sn 3.17, 1 Pb 3.19, 3 Te 3.23-3.25
Sn1 0.0000 0.5000 0.0000  6 Nd 3.17
Te1 0.0000 0.0000 0.5000  6 Nd 3.23-3.24
Te2 0.5000 0.5000 0.5000  6 Nd 3.25
Pb1 0.5000 0.0000 0.0000  6 Nd 3.19